Compound: TlSi4
Source: the Alexandria database
Functional: GGA-PBE
Structure: relaxed

a b c (Å): 5.3805 5.3805 5.3805
angles (deg): 109.47 109.47 109.47
With the nearest neighbours (Å) after each atom.
Sites, in units of the cell vectors:
Tl: 0.0000 0.0000 0.0000  8 Si 2.69
Si: 0.5000 0.0000 0.0000  2 Tl 2.69
Si: 0.5000 0.5000 0.5000  2 Tl 2.69
Si: 0.0000 0.5000 0.0000  2 Tl 2.69
Si: 0.0000 0.0000 0.5000  2 Tl 2.69

Calculated values
* total magnetization: 0.000 μB per atom
* energy above the most stable polymorph in this dataset: 0.000 eV per formula unit
* space group: Im-3m (229)
* total energy: -17.6 eV/cell
* energy relative to the elements, uncorrected: 1294 meV/atom